# 1
First-principles (PBE) data for a geometry-optimized SrSmAgO3 structure, as listed in OQMD.

a b c (Å): 6.6693 6.6693 8.7896
angles (deg): 90.00 90.00 147.59
Positions (direct):
Sr  0.1788  0.8212  0.7500
Sr  0.8212  0.1788  0.2500
Sm  0.5000  0.5000  0.0000
Sm  0.5000  0.5000  0.5000
Ag  0.1184  0.8816  0.2500
Ag  0.8816  0.1184  0.7500
O  0.1172  0.8828  0.0174
O  0.1172  0.8828  0.4826
O  0.4389  0.5611  0.2500
O  0.5611  0.4389  0.7500
O  0.8828  0.1172  0.5174
O  0.8828  0.1172  0.9826

Values from the calculation:
* SG: Cmcm, No. 63

***

# 2
First-principles (PBE) data for a geometry-optimized SmAgTeO structure, as listed in OQMD.

a b c (Å): 4.6213 5.6718 6.9394
angles (deg): 90.00 90.00 90.00
Positions (direct):
Sm  0.0000  0.2256  0.0000
Sm  0.0000  0.7744  0.5000
Ag  0.5000  0.1506  0.6554
Ag  0.5000  0.8494  0.1554
Te  0.5000  0.3780  0.3029
Te  0.5000  0.6220  0.8029
O  0.0000  0.0584  0.7149
O  0.0000  0.9416  0.2149

Values from the calculation:
* SG: Pmc2_1, No. 26

***

# 3
First-principles (PBE) data for a geometry-optimized SmAgTeO structure, as listed in OQMD.

a b c (Å): 7.9099 6.3391 6.3085
angles (deg): 90.00 90.99 90.00
Positions (direct):
Sm  0.1113  0.0071  0.2498
Sm  0.1113  0.4929  0.7498
Sm  0.8887  0.5071  0.2502
Sm  0.8887  0.9929  0.7502
Ag  0.4771  0.2386  0.0007
Ag  0.4771  0.2614  0.5007
Ag  0.5229  0.7386  0.4993
Ag  0.5229  0.7614  0.9993
Te  0.2920  0.5207  0.2364
Te  0.2920  0.9793  0.7364
Te  0.7080  0.0207  0.2636
Te  0.7080  0.4793  0.7636
O  0.0021  0.2451  0.9973
O  0.0021  0.2549  0.4973
O  0.9979  0.7451  0.5027
O  0.9979  0.7549  0.0027

Values from the calculation:
* SG: P2_1/c, No. 14

***

# 4
First-principles (PBE) data for a geometry-optimized Ag3Sn5O12 structure, as listed in OQMD.

a b c (Å): 6.8563 6.8563 6.8563
angles (deg): 109.47 109.47 109.47
Positions (direct):
Ag  0.0000  0.5000  0.5000
Ag  0.5000  0.0000  0.5000
Ag  0.5000  0.5000  0.0000
Sn  0.0000  0.0000  0.0000
Sn  0.0000  0.0000  0.5000
Sn  0.0000  0.5000  0.0000
Sn  0.5000  0.0000  0.0000
Sn  0.5000  0.5000  0.5000
O  0.1123  0.2970  0.8153
O  0.1847  0.4818  0.2970
O  0.1847  0.8877  0.7030
O  0.2970  0.1847  0.4818
O  0.2970  0.8153  0.1123
O  0.4818  0.2970  0.1847
O  0.5182  0.7030  0.8153
O  0.7030  0.1847  0.8877
O  0.7030  0.8153  0.5182
O  0.8153  0.1123  0.2970
O  0.8153  0.5182  0.7030
O  0.8877  0.7030  0.1847

Values from the calculation:
* SG: Im-3, No. 204

***

# 5
First-principles (PBE) data for a geometry-optimized Ag2SnO2 structure, as listed in OQMD.

a b c (Å): 5.8958 5.8958 9.0490
angles (deg): 90.00 90.00 90.00
Positions (direct):
Ag  0.0180  0.2384  0.1291
Ag  0.2384  0.0180  0.8709
Ag  0.2616  0.5180  0.8791
Ag  0.4820  0.7384  0.6209
Ag  0.5180  0.2616  0.1209
Ag  0.7384  0.4820  0.3791
Ag  0.7616  0.9820  0.3709
Ag  0.9820  0.7616  0.6291
Sn  0.2106  0.2106  0.5000
Sn  0.2894  0.7106  0.2500
Sn  0.7106  0.2894  0.7500
Sn  0.7894  0.7894  0.0000
O  0.0729  0.2837  0.7353
O  0.2163  0.5729  0.4853
O  0.2837  0.0729  0.2647
O  0.4271  0.7837  0.0147
O  0.5729  0.2163  0.5147
O  0.7163  0.9271  0.7647
O  0.7837  0.4271  0.9853
O  0.9271  0.7163  0.2353

Values from the calculation:
* SG: P4_32_12, No. 96

***

# 6
First-principles (PBE) data for a geometry-optimized Ag6SnO8 structure, as listed in OQMD.

a b c (Å): 6.5311 6.5311 6.5311
angles (deg): 60.00 60.00 60.00
Positions (direct):
Ag  0.0000  0.0000  0.5000
Ag  0.0000  0.5000  0.0000
Ag  0.0000  0.5000  0.5000
Ag  0.5000  0.0000  0.0000
Ag  0.5000  0.0000  0.5000
Ag  0.5000  0.5000  0.0000
Sn  0.0000  0.0000  0.0000
O  0.2280  0.2280  0.7720
O  0.2280  0.7720  0.2280
O  0.2280  0.7720  0.7720
O  0.2500  0.2500  0.2500
O  0.7500  0.7500  0.7500
O  0.7720  0.2280  0.2280
O  0.7720  0.2280  0.7720
O  0.7720  0.7720  0.2280

Values from the calculation:
* SG: Fm-3m, No. 225

***

# 7
First-principles (PBE) data for a geometry-optimized AgSn2O4 structure, as listed in OQMD.

a b c (Å): 6.6449 6.6449 6.6449
angles (deg): 60.00 60.00 60.00
Positions (direct):
Ag  0.1250  0.1250  0.1250
Ag  0.8750  0.8750  0.8750
Sn  0.0000  0.5000  0.5000
Sn  0.5000  0.0000  0.5000
Sn  0.5000  0.5000  0.0000
Sn  0.5000  0.5000  0.5000
O  0.2698  0.2698  0.2698
O  0.2698  0.2698  0.6907
O  0.2698  0.6907  0.2698
O  0.3093  0.7302  0.7302
O  0.6907  0.2698  0.2698
O  0.7302  0.3093  0.7302
O  0.7302  0.7302  0.3093
O  0.7302  0.7302  0.7302

Values from the calculation:
* SG: Fd-3m, No. 227

***

# 8
First-principles (PBE) data for a geometry-optimized Ag5Sn2O6 structure, as listed in OQMD.

a b c (Å): 5.7078 5.7078 6.5928
angles (deg): 90.00 90.00 120.00
Positions (direct):
Ag  0.0000  0.0000  0.2098
Ag  0.0000  0.0000  0.7902
Ag  0.0000  0.5000  0.0000
Ag  0.5000  0.0000  0.0000
Ag  0.5000  0.5000  0.0000
Sn  0.3333  0.6667  0.5000
Sn  0.6667  0.3333  0.5000
O  0.0000  0.3907  0.3228
O  0.0000  0.6093  0.6772
O  0.3907  0.0000  0.3228
O  0.3907  0.3907  0.6772
O  0.6093  0.0000  0.6772
O  0.6093  0.6093  0.3228

Values from the calculation:
* SG: P-31m, No. 162

***

no.,raw total energy (eV per atom)
1,-6.27
2,-5.33
3,-5.56
4,-5.42
5,-4.46
6,-4.33
7,-5.51
8,-4.77